(1)
A plane-wave DFT calculation with PBE was carried out for crystalline TmGa4CuIr2 at its relaxed geometry.

Properties
Final energy = -41.78 eV per formula unit
DFT formation energy = -3.380 eV/f.u.
ρ = 11.36 g/cm³

Cell lengths 8.695, 8.695, 8.695 Å; angles 28.35, 28.35, 28.35 degrees
Fractional positions:
Tm: 0.000 0.000 0.000
Ga: 0.132 0.132 0.132
Ga: 0.397 0.397 0.397
Ga: 0.603 0.603 0.603
Ga: 0.868 0.868 0.868
Cu: 0.500 0.500 0.500
Ir: 0.239 0.239 0.239
Ir: 0.761 0.761 0.761



(2)
A plane-wave DFT calculation with PBE was carried out for crystalline HoNi3Rh at its relaxed geometry.

Properties
Final energy = -29.01 eV per formula unit
DFT formation energy = 0.267 eV/f.u.
ρ = 9.04 g/cm³

Cell lengths 8.601, 8.601, 4.325 Å; angles 90.00, 90.00, 149.34 degrees
Fractional positions:
Ho: 0.087 0.913 0.750
Ho: 0.913 0.087 0.250
Ni: 0.034 0.485 0.250
Ni: 0.485 0.034 0.750
Ni: 0.500 0.500 0.000
Ni: 0.500 0.500 0.500
Ni: 0.515 0.966 0.250
Ni: 0.966 0.515 0.750
Rh: 0.361 0.639 0.750
Rh: 0.639 0.361 0.250



(3)
A plane-wave DFT calculation with PBE was carried out for crystalline CoNi2Cl at its relaxed geometry.

Properties
Final energy = -19.34 eV per formula unit
Formation energy (no corrections) = 0.294 eV/atom
Offset from the most stable computed form = 79 meV/atom
ρ = 5.45 g/cm³

Cell lengths 4.101, 4.101, 6.030 Å; angles 94.57, 94.57, 39.72 degrees
Fractional positions:
Co: 0.000 0.000 0.000
Ni: 0.463 0.463 0.330
Ni: 0.731 0.731 0.162
Cl: 0.451 0.451 0.696